Material: Ag4SnTe4
Method: DFT, PBE-GGA
State: optimized geometry

Cell: 11.0931 11.0931 4.7002 Å, 90.00 90.00 90.00°
Space group I4/m (No. 87)
Asymmetric unit:
Ag1 0.1829 0.3013 0.0000 [8 per cell]
Sn1 0.0000 0.0000 0.5000 [2 per cell]
Te1 0.0528 0.2558 0.5000 [8 per cell]

Spin magnetization in μB per cell: 0.00
Formation energy (no corrections) in eV/atom: 0.00